(1)
! SmTcNO, relaxed, DFT PBE; values from VASP
! Distance to the lowest polymorph of the same formula = 0 meV per atom
! Symmetry = Pca2_1
! Magnetic moment = 0.0 μB/f.u.
&SYSTEM
  ibrav = 0, nat = 16, ntyp = 4
/
ATOMIC_SPECIES
Sm 150.36 Sm.upf
Tc 98.00 Tc.upf
N 14.01 N.upf
O 16.00 O.upf
CELL_PARAMETERS angstrom
5.503 0.000 0.000
0.000 8.766 0.000
0.000 0.000 4.741
ATOMIC_POSITIONS crystal
Sm 0.016 0.160 0.000
Sm 0.484 0.160 0.500
Sm 0.516 0.840 0.000
Sm 0.984 0.840 0.500
Tc 0.125 0.510 0.163
Tc 0.375 0.510 0.663
Tc 0.625 0.490 0.163
Tc 0.875 0.490 0.663
N 0.111 0.642 0.827
N 0.389 0.642 0.327
N 0.611 0.358 0.827
N 0.889 0.358 0.327
O 0.089 0.091 0.510
O 0.411 0.091 0.010
O 0.589 0.909 0.510
O 0.911 0.909 0.010

---

(2)
! TbGe2Pt2, relaxed, DFT PBE; values from VASP
! Symmetry = P4/nmm
! Magnetic moment = 0.0 μB/f.u.
&SYSTEM
  ibrav = 0, nat = 10, ntyp = 3
/
ATOMIC_SPECIES
Tb 158.93 Tb.upf
Ge 72.64 Ge.upf
Pt 195.08 Pt.upf
CELL_PARAMETERS angstrom
4.321 0.000 0.000
0.000 4.321 0.000
0.000 0.000 10.100
ATOMIC_POSITIONS crystal
Tb 0.250 0.250 0.248
Tb 0.750 0.750 0.752
Ge 0.250 0.250 0.869
Ge 0.250 0.750 0.500
Ge 0.750 0.250 0.500
Ge 0.750 0.750 0.131
Pt 0.250 0.250 0.629
Pt 0.250 0.750 0.000
Pt 0.750 0.250 0.000
Pt 0.750 0.750 0.371

---

(3)
! ZrBPdAu, relaxed, DFT PBE; values from VASP
! Distance to the lowest polymorph of the same formula = 27 meV per atom
! Symmetry = F-43m
! Magnetic moment = 0.0 μB/f.u.
&SYSTEM
  ibrav = 0, nat = 4, ntyp = 4
/
ATOMIC_SPECIES
Zr 91.22 Zr.upf
B 10.81 B.upf
Pd 106.42 Pd.upf
Au 196.97 Au.upf
CELL_PARAMETERS angstrom
0.000 3.146 3.146
3.146 0.000 3.146
3.146 3.146 0.000
ATOMIC_POSITIONS crystal
Zr 0.000 0.000 0.000
B 0.250 0.250 0.250
Pd 0.750 0.750 0.750
Au 0.500 0.500 0.500

---

(4)
! RbP5Pd3, relaxed, DFT PBE; values from VASP
! Symmetry = P6/mmm
&SYSTEM
  ibrav = 0, nat = 9, ntyp = 3
/
ATOMIC_SPECIES
Rb 85.47 Rb.upf
P 30.97 P.upf
Pd 106.42 Pd.upf
CELL_PARAMETERS angstrom
5.536 0.000 0.000
-2.768 4.794 0.000
0.000 0.000 7.776
ATOMIC_POSITIONS crystal
Rb 0.000 0.000 0.000
P 0.000 0.000 0.500
P 0.333 0.667 0.265
P 0.333 0.667 0.735
P 0.667 0.333 0.265
P 0.667 0.333 0.735
Pd 0.000 0.500 0.500
Pd 0.500 0.000 0.500
Pd 0.500 0.500 0.500

---

(5)
! ScGeIr2, relaxed, DFT PBE; values from VASP
! Symmetry = F-43m
! Magnetic moment = 0.3 μB/f.u.
&SYSTEM
  ibrav = 0, nat = 4, ntyp = 3
/
ATOMIC_SPECIES
Sc 44.96 Sc.upf
Ge 72.64 Ge.upf
Ir 192.22 Ir.upf
CELL_PARAMETERS angstrom
0.000 3.185 3.185
3.185 0.000 3.185
3.185 3.185 0.000
ATOMIC_POSITIONS crystal
Sc 0.000 0.000 0.000
Ge 0.750 0.750 0.750
Ir 0.250 0.250 0.250
Ir 0.500 0.500 0.500

---

(6)
! Pr4PBr5, relaxed, DFT PBE; values from VASP
! Symmetry = C2/m
! Magnetic moment = 0.0 μB/f.u.
&SYSTEM
  ibrav = 0, nat = 10, ntyp = 3
/
ATOMIC_SPECIES
Pr 140.91 Pr.upf
P 30.97 P.upf
Br 79.90 Br.upf
CELL_PARAMETERS angstrom
9.375 -2.078 0.000
9.375 2.078 0.000
-2.036 0.000 8.419
ATOMIC_POSITIONS crystal
Pr 0.000 0.000 0.220
Pr 0.000 0.000 0.780
Pr 0.350 0.350 0.918
Pr 0.650 0.650 0.082
P 0.500 0.500 0.000
Br 0.166 0.166 0.338
Br 0.171 0.171 0.835
Br 0.500 0.500 0.500
Br 0.829 0.829 0.165
Br 0.834 0.834 0.662

---

(7)
! RbThAgTe3, relaxed, DFT PBE; values from VASP
! Symmetry = Cmcm
! Magnetic moment = 0.0 μB/f.u.
&SYSTEM
  ibrav = 0, nat = 12, ntyp = 4
/
ATOMIC_SPECIES
Rb 85.47 Rb.upf
Th 232.04 Th.upf
Ag 107.87 Ag.upf
Te 127.60 Te.upf
CELL_PARAMETERS angstrom
2.274 -8.050 0.000
2.274 8.050 0.000
0.000 0.000 11.776
ATOMIC_POSITIONS crystal
Rb 0.249 0.751 0.750
Rb 0.751 0.249 0.250
Th 0.000 0.000 0.000
Th 0.000 0.000 0.500
Ag 0.462 0.538 0.250
Ag 0.538 0.462 0.750
Te 0.070 0.930 0.250
Te 0.368 0.632 0.048
Te 0.368 0.632 0.452
Te 0.632 0.368 0.548
Te 0.632 0.368 0.952
Te 0.930 0.070 0.750

---

(8)
! Hf2ZnPd3, relaxed, DFT PBE; values from VASP
! Symmetry = P4mm
! Magnetic moment = 0.0 μB/f.u.
! Formation enthalpy at 0 K = -422.4 kJ/mol of formula units
&SYSTEM
  ibrav = 0, nat = 6, ntyp = 3
/
ATOMIC_SPECIES
Hf 178.49 Hf.upf
Zn 65.41 Zn.upf
Pd 106.42 Pd.upf
CELL_PARAMETERS angstrom
3.455 0.000 0.000
0.000 3.455 0.000
0.000 0.000 8.596
ATOMIC_POSITIONS crystal
Hf 0.000 0.000 0.000
Hf 0.500 0.500 0.484
Zn 0.000 0.000 0.667
Pd 0.000 0.000 0.341
Pd 0.500 0.500 0.153
Pd 0.500 0.500 0.814

---

(9)
! Fe3AgP5, relaxed, DFT PBE; values from VASP
! Symmetry = P6/mmm
! Magnetic moment = 1.7 μB/f.u.
&SYSTEM
  ibrav = 0, nat = 9, ntyp = 3
/
ATOMIC_SPECIES
Fe 55.84 Fe.upf
Ag 107.87 Ag.upf
P 30.97 P.upf
CELL_PARAMETERS angstrom
4.794 0.000 0.000
-2.397 4.152 0.000
0.000 0.000 6.799
ATOMIC_POSITIONS crystal
Fe 0.000 0.500 0.000
Fe 0.500 0.000 0.000
Fe 0.500 0.500 0.000
Ag 0.000 0.000 0.500
P 0.000 0.000 0.000
P 0.333 0.667 0.267
P 0.333 0.667 0.733
P 0.667 0.333 0.267
P 0.667 0.333 0.733

---

(10)
! Rb3Ag2P4HO14, relaxed, DFT PBE; values from VASP
! Symmetry = P-1
&SYSTEM
  ibrav = 0, nat = 24, ntyp = 5
/
ATOMIC_SPECIES
Rb 85.47 Rb.upf
Ag 107.87 Ag.upf
P 30.97 P.upf
H 1.01 H.upf
O 16.00 O.upf
CELL_PARAMETERS angstrom
5.524 0.000 0.000
-2.638 5.072 0.000
-2.417 -1.341 12.564
ATOMIC_POSITIONS crystal
Rb 0.000 0.000 0.000
Rb 0.205 0.853 0.569
Rb 0.795 0.147 0.431
Ag 0.011 0.741 0.272
Ag 0.989 0.259 0.728
P 0.414 0.468 0.343
P 0.439 0.704 0.144
P 0.561 0.296 0.856
P 0.586 0.532 0.657
H 0.500 0.500 0.000
O 0.245 0.113 0.820
O 0.264 0.375 0.619
O 0.283 0.633 0.380
O 0.284 0.855 0.163
O 0.291 0.190 0.374
O 0.350 0.449 0.212
O 0.354 0.582 0.028
O 0.646 0.418 0.972
O 0.650 0.551 0.788
O 0.709 0.810 0.626
O 0.716 0.145 0.837
O 0.717 0.367 0.620
O 0.736 0.625 0.381
O 0.755 0.887 0.180

---

(11)
! YGe2Mo, relaxed, DFT PBE; values from VASP
! Symmetry = F-43m
! Magnetic moment = 0.6 μB/f.u.
&SYSTEM
  ibrav = 0, nat = 4, ntyp = 3
/
ATOMIC_SPECIES
Y 88.91 Y.upf
Ge 72.64 Ge.upf
Mo 95.94 Mo.upf
CELL_PARAMETERS angstrom
0.000 3.367 3.367
3.367 0.000 3.367
3.367 3.367 0.000
ATOMIC_POSITIONS crystal
Y 0.000 0.000 0.000
Ge 0.500 0.500 0.500
Ge 0.750 0.750 0.750
Mo 0.250 0.250 0.250

---

(12)
! SrSmMo3, relaxed, DFT PBE; values from VASP
! Symmetry = Amm2
! Magnetic moment = 0.0 μB/f.u.
&SYSTEM
  ibrav = 0, nat = 10, ntyp = 3
/
ATOMIC_SPECIES
Sr 87.62 Sr.upf
Sm 150.36 Sm.upf
Mo 95.94 Mo.upf
CELL_PARAMETERS angstrom
3.255 0.000 0.000
0.000 1.988 19.723
0.000 -1.988 19.723
ATOMIC_POSITIONS crystal
Sr 0.000 0.000 0.000
Sr 0.000 0.365 0.365
Sm 0.500 0.579 0.579
Sm 0.500 0.784 0.784
Mo 0.000 0.656 0.656
Mo 0.000 0.719 0.719
Mo 0.500 0.137 0.137
Mo 0.500 0.199 0.199
Mo 0.500 0.449 0.449
Mo 0.500 0.916 0.916

---

| no. | E_tot (eV/f.u.) |
| --- | --- |
| 1 | -34.53 |
| 2 | -30.39 |
| 3 | -23.42 |
| 4 | -42.92 |
| 5 | -29.56 |
| 6 | -49.72 |
| 7 | -26.77 |
| 8 | -41.08 |
| 9 | -53.81 |
| 10 | -146.29 |
| 11 | -25.39 |
| 12 | -35.56 |